! LiPa6S12, relaxed, DFT PBE; values from VASP
! - SG = No. 148
! - total moment (μB per atom) = 0.3738
! - uncorrected formation energy (eV/atom) = -1.56
&SYSTEM
  ibrav = 0, nat = 19, ntyp = 3
/
ATOMIC_SPECIES
Li 6.94 Li.upf
Pa 231.04 Pa.upf
S 32.06 S.upf
ATOMIC_POSITIONS crystal
Li 0.0000 0.0000 0.0000
Pa 0.1309 0.6205 0.2928
Pa 0.2928 0.1309 0.6205
Pa 0.3795 0.7072 0.8691
Pa 0.6205 0.2928 0.1309
Pa 0.7072 0.8691 0.3795
Pa 0.8691 0.3795 0.7072
S 0.0538 0.6829 0.9380
S 0.0620 0.9462 0.3171
S 0.1771 0.4304 0.5716
S 0.3171 0.0620 0.9462
S 0.4284 0.8229 0.5696
S 0.4304 0.5716 0.1771
S 0.5696 0.4284 0.8229
S 0.5716 0.1771 0.4304
S 0.6829 0.9380 0.0538
S 0.8229 0.5696 0.4284
S 0.9380 0.0538 0.6829
S 0.9462 0.3171 0.0620
CELL_PARAMETERS angstrom
6.0221 3.4769 3.6179
-6.0221 3.4769 3.6179
0.0000 -6.9537 3.6179

***

! Li5Pa3S12, relaxed, DFT PBE; values from VASP
! - SG = No. 230
! - total moment (μB per atom) = 0.0002
! - uncorrected formation energy (eV/atom) = -1.12
&SYSTEM
  ibrav = 0, nat = 80, ntyp = 3
/
ATOMIC_SPECIES
Li 6.94 Li.upf
Pa 231.04 Pa.upf
S 32.06 S.upf
ATOMIC_POSITIONS crystal
Li 0.0000 0.0000 0.0000
Li 0.0000 0.0000 0.5000
Li 0.0000 0.5000 0.0000
Li 0.0000 0.5000 0.5000
Li 0.1250 0.7500 0.8750
Li 0.1250 0.8750 0.2500
Li 0.2500 0.1250 0.8750
Li 0.2500 0.6250 0.3750
Li 0.3750 0.2500 0.6250
Li 0.3750 0.6250 0.7500
Li 0.5000 0.0000 0.0000
Li 0.5000 0.0000 0.5000
Li 0.5000 0.5000 0.0000
Li 0.5000 0.5000 0.5000
Li 0.6250 0.3750 0.2500
Li 0.6250 0.7500 0.3750
Li 0.7500 0.3750 0.6250
Li 0.7500 0.8750 0.1250
Li 0.8750 0.1250 0.7500
Li 0.8750 0.2500 0.1250
Pa 0.1250 0.2500 0.3750
Pa 0.1250 0.3750 0.7500
Pa 0.2500 0.3750 0.1250
Pa 0.2500 0.8750 0.6250
Pa 0.3750 0.1250 0.2500
Pa 0.3750 0.7500 0.1250
Pa 0.6250 0.2500 0.8750
Pa 0.6250 0.8750 0.7500
Pa 0.7500 0.1250 0.3750
Pa 0.7500 0.6250 0.8750
Pa 0.8750 0.6250 0.2500
Pa 0.8750 0.7500 0.6250
S 0.0497 0.2280 0.1363
S 0.0497 0.3218 0.9135
S 0.0865 0.6363 0.4083
S 0.0865 0.9503 0.6782
S 0.0917 0.7280 0.6782
S 0.0917 0.8637 0.4135
S 0.1363 0.0497 0.2280
S 0.1363 0.5865 0.9083
S 0.1782 0.2280 0.5917
S 0.1782 0.4503 0.5865
S 0.2280 0.1363 0.0497
S 0.2280 0.5917 0.1782
S 0.2720 0.3218 0.9083
S 0.2720 0.4503 0.3637
S 0.3218 0.9083 0.2720
S 0.3218 0.9135 0.0497
S 0.3637 0.2720 0.4503
S 0.3637 0.5917 0.9135
S 0.4083 0.0865 0.6363
S 0.4083 0.8218 0.7720
S 0.4135 0.0917 0.8637
S 0.4135 0.8218 0.5497
S 0.4503 0.3637 0.2720
S 0.4503 0.5865 0.1782
S 0.5497 0.4135 0.8218
S 0.5497 0.6363 0.7280
S 0.5865 0.1782 0.4503
S 0.5865 0.9083 0.1363
S 0.5917 0.1782 0.2280
S 0.5917 0.9135 0.3637
S 0.6363 0.4083 0.0865
S 0.6363 0.7280 0.5497
S 0.6782 0.0865 0.9503
S 0.6782 0.0917 0.7280
S 0.7280 0.5497 0.6363
S 0.7280 0.6782 0.0917
S 0.7720 0.4083 0.8218
S 0.7720 0.8637 0.9503
S 0.8218 0.5497 0.4135
S 0.8218 0.7720 0.4083
S 0.8637 0.4135 0.0917
S 0.8637 0.9503 0.7720
S 0.9083 0.1363 0.5865
S 0.9083 0.2720 0.3218
S 0.9135 0.0497 0.3218
S 0.9135 0.3637 0.5917
S 0.9503 0.6782 0.0865
S 0.9503 0.7720 0.8637
CELL_PARAMETERS angstrom
-7.4835 7.4835 7.4835
7.4835 -7.4835 7.4835
7.4835 7.4835 -7.4835

***

! LiPa2S5, relaxed, DFT PBE; values from VASP
! - SG = No. 123
! - total moment (μB per atom) = 0.1693
! - uncorrected formation energy (eV/atom) = -1.00
&SYSTEM
  ibrav = 0, nat = 8, ntyp = 3
/
ATOMIC_SPECIES
Li 6.94 Li.upf
Pa 231.04 Pa.upf
S 32.06 S.upf
ATOMIC_POSITIONS crystal
Li 0.0000 0.0000 0.0000
Pa 0.0000 0.5000 0.5000
Pa 0.5000 0.0000 0.5000
S 0.0000 0.0000 0.5000
S 0.2763 0.2763 0.0000
S 0.2763 0.7237 0.0000
S 0.7237 0.2763 0.0000
S 0.7237 0.7237 0.0000
CELL_PARAMETERS angstrom
6.1700 0.0000 0.0000
0.0000 6.1700 0.0000
0.0000 0.0000 3.9210

***

! Li5PaS6, relaxed, DFT PBE; values from VASP
! - SG = No. 12
! - total moment (μB per atom) = 0.0000
! - uncorrected formation energy (eV/atom) = -1.17
&SYSTEM
  ibrav = 0, nat = 12, ntyp = 3
/
ATOMIC_SPECIES
Li 6.94 Li.upf
Pa 231.04 Pa.upf
S 32.06 S.upf
ATOMIC_POSITIONS crystal
Li 0.0000 0.0000 0.0000
Li 0.1674 0.8326 0.5000
Li 0.3304 0.6696 0.0000
Li 0.6696 0.3304 0.0000
Li 0.8326 0.1674 0.5000
Pa 0.5000 0.5000 0.5000
S 0.0834 0.4149 0.2465
S 0.2502 0.2502 0.7479
S 0.4149 0.0834 0.2465
S 0.5851 0.9166 0.7535
S 0.7498 0.7498 0.2521
S 0.9166 0.5851 0.7535
CELL_PARAMETERS angstrom
3.2035 -5.5914 0.0000
3.2035 5.5914 0.0000
-2.1593 0.0000 6.0886

***

! Li4Pa3S8, relaxed, DFT PBE; values from VASP
! - SG = No. 12
! - total moment (μB per atom) = 0.0841
! - uncorrected formation energy (eV/atom) = -1.45
&SYSTEM
  ibrav = 0, nat = 15, ntyp = 3
/
ATOMIC_SPECIES
Li 6.94 Li.upf
Pa 231.04 Pa.upf
S 32.06 S.upf
ATOMIC_POSITIONS crystal
Li 0.0000 0.0000 0.0000
Li 0.0000 0.5000 0.0000
Li 0.5000 0.0000 0.0000
Li 0.5000 0.5000 0.5000
Pa 0.0000 0.5000 0.5000
Pa 0.5000 0.0000 0.5000
Pa 0.5000 0.5000 0.0000
S 0.2423 0.7577 0.0000
S 0.2442 0.2442 0.4919
S 0.2543 0.7457 0.5000
S 0.2700 0.2700 0.0185
S 0.7300 0.7300 0.9815
S 0.7457 0.2543 0.5000
S 0.7558 0.7558 0.5081
S 0.7577 0.2423 0.0000
CELL_PARAMETERS angstrom
5.3048 -5.4041 0.0000
5.3048 5.4041 0.0000
-5.2699 0.0000 5.4802

***

! Li3PaS4, relaxed, DFT PBE; values from VASP
! - SG = No. 13
! - total moment (μB per atom) = 0.0000
! - uncorrected formation energy (eV/atom) = -1.48
&SYSTEM
  ibrav = 0, nat = 16, ntyp = 3
/
ATOMIC_SPECIES
Li 6.94 Li.upf
Pa 231.04 Pa.upf
S 32.06 S.upf
ATOMIC_POSITIONS crystal
Li 0.0000 0.1004 0.2500
Li 0.0000 0.3565 0.7500
Li 0.0000 0.6435 0.2500
Li 0.0000 0.8996 0.7500
Li 0.5000 0.1174 0.7500
Li 0.5000 0.8826 0.2500
Pa 0.5000 0.3532 0.2500
Pa 0.5000 0.6468 0.7500
S 0.2462 0.1242 0.0081
S 0.2462 0.8758 0.5081
S 0.2600 0.3872 0.4999
S 0.2600 0.6128 0.9999
S 0.7400 0.3872 0.0001
S 0.7400 0.6128 0.5001
S 0.7538 0.1242 0.4919
S 0.7538 0.8758 0.9919
CELL_PARAMETERS angstrom
6.5110 0.0000 0.0000
0.0000 7.6283 0.0000
-2.3154 0.0000 6.2818

***

! LiPa3S7, relaxed, DFT PBE; values from VASP
! - SG = No. 12
! - total moment (μB per atom) = 0.1908
! - uncorrected formation energy (eV/atom) = -1.47
&SYSTEM
  ibrav = 0, nat = 11, ntyp = 3
/
ATOMIC_SPECIES
Li 6.94 Li.upf
Pa 231.04 Pa.upf
S 32.06 S.upf
ATOMIC_POSITIONS crystal
Li 0.0000 0.0000 0.0000
Pa 0.2748 0.7252 0.5000
Pa 0.5000 0.5000 0.0000
Pa 0.7252 0.2748 0.5000
S 0.0000 0.0000 0.5000
S 0.1309 0.5627 0.7508
S 0.3365 0.3365 0.2332
S 0.4373 0.8691 0.2492
S 0.5627 0.1309 0.7508
S 0.6635 0.6635 0.7668
S 0.8691 0.4373 0.2492
CELL_PARAMETERS angstrom
4.3898 -4.8221 0.0000
4.3898 4.8221 0.0000
-3.3099 0.0000 6.4480

***

! LiPa4S5, relaxed, DFT PBE; values from VASP
! - SG = No. 87
! - total moment (μB per atom) = 0.0000
! - uncorrected formation energy (eV/atom) = -1.57
&SYSTEM
  ibrav = 0, nat = 10, ntyp = 3
/
ATOMIC_SPECIES
Li 6.94 Li.upf
Pa 231.04 Pa.upf
S 32.06 S.upf
ATOMIC_POSITIONS crystal
Li 0.0000 0.0000 0.0000
Pa 0.1979 0.5991 0.7970
Pa 0.4009 0.1979 0.5989
Pa 0.5991 0.8021 0.4011
Pa 0.8021 0.4009 0.2030
S 0.0984 0.2891 0.3875
S 0.2891 0.9016 0.1907
S 0.5000 0.5000 0.0000
S 0.7109 0.0984 0.8093
S 0.9016 0.7109 0.6125
CELL_PARAMETERS angstrom
-4.3214 4.3214 2.7357
4.3214 -4.3214 2.7357
4.3214 4.3214 -2.7357

***

! Li7PaS6, relaxed, DFT PBE; values from VASP
! - SG = No. 146
! - total moment (μB per atom) = 0.0000
! - uncorrected formation energy (eV/atom) = -1.41
&SYSTEM
  ibrav = 0, nat = 14, ntyp = 3
/
ATOMIC_SPECIES
Li 6.94 Li.upf
Pa 231.04 Pa.upf
S 32.06 S.upf
ATOMIC_POSITIONS crystal
Li 0.0000 0.0000 0.0000
Li 0.0908 0.4675 0.8183
Li 0.2568 0.8466 0.5596
Li 0.4675 0.8183 0.0908
Li 0.5596 0.2568 0.8466
Li 0.8183 0.0908 0.4675
Li 0.8466 0.5596 0.2568
Pa 0.3401 0.3401 0.3401
S 0.1208 0.7341 0.4118
S 0.2287 0.5829 0.9621
S 0.4118 0.1208 0.7341
S 0.5829 0.9621 0.2287
S 0.7341 0.4118 0.1208
S 0.9621 0.2287 0.5829
CELL_PARAMETERS angstrom
3.4894 2.0146 6.2995
-3.4894 2.0146 6.2995
0.0000 -4.0292 6.2995

***

! LiPa2S3, relaxed, DFT PBE; values from VASP
! - SG = No. 62
! - total moment (μB per atom) = 0.0000
! - uncorrected formation energy (eV/atom) = -1.53
&SYSTEM
  ibrav = 0, nat = 24, ntyp = 3
/
ATOMIC_SPECIES
Li 6.94 Li.upf
Pa 231.04 Pa.upf
S 32.06 S.upf
ATOMIC_POSITIONS crystal
Li 0.1194 0.2500 0.0818
Li 0.3806 0.7500 0.5818
Li 0.6194 0.2500 0.4182
Li 0.8806 0.7500 0.9182
Pa 0.1223 0.2500 0.4186
Pa 0.1242 0.2500 0.7478
Pa 0.3758 0.7500 0.2478
Pa 0.3777 0.7500 0.9186
Pa 0.6223 0.2500 0.0814
Pa 0.6242 0.2500 0.7522
Pa 0.8758 0.7500 0.2522
Pa 0.8777 0.7500 0.5814
S 0.1189 0.7500 0.0804
S 0.1248 0.7500 0.7520
S 0.1367 0.7500 0.4210
S 0.3633 0.2500 0.9210
S 0.3752 0.2500 0.2520
S 0.3811 0.2500 0.5804
S 0.6189 0.7500 0.4196
S 0.6248 0.7500 0.7480
S 0.6367 0.7500 0.0790
S 0.8633 0.2500 0.5790
S 0.8752 0.2500 0.2480
S 0.8811 0.2500 0.9196
CELL_PARAMETERS angstrom
7.6994 0.0000 0.0000
0.0000 5.4511 0.0000
0.0000 0.0000 11.5814

***

! Li4PaS4, relaxed, DFT PBE; values from VASP
! - SG = No. 121
! - total moment (μB per atom) = 0.1114
! - uncorrected formation energy (eV/atom) = -1.17
&SYSTEM
  ibrav = 0, nat = 9, ntyp = 3
/
ATOMIC_SPECIES
Li 6.94 Li.upf
Pa 231.04 Pa.upf
S 32.06 S.upf
ATOMIC_POSITIONS crystal
Li 0.0000 0.5000 0.5000
Li 0.1920 0.1920 0.0000
Li 0.5000 0.0000 0.5000
Li 0.8080 0.8080 0.0000
Pa 0.5000 0.5000 0.0000
S 0.1368 0.6214 0.0000
S 0.3786 0.3786 0.5154
S 0.6214 0.1368 0.0000
S 0.8632 0.8632 0.4846
CELL_PARAMETERS angstrom
-3.1869 3.1869 5.4236
3.1869 -3.1869 5.4236
3.1869 3.1869 -5.4236

***

! LiPa5S6, relaxed, DFT PBE; values from VASP
! - SG = No. 12
! - total moment (μB per atom) = 0.0001
! - uncorrected formation energy (eV/atom) = -1.57
&SYSTEM
  ibrav = 0, nat = 12, ntyp = 3
/
ATOMIC_SPECIES
Li 6.94 Li.upf
Pa 231.04 Pa.upf
S 32.06 S.upf
ATOMIC_POSITIONS crystal
Li 0.0000 0.0000 0.0000
Pa 0.1675 0.8325 0.5000
Pa 0.3330 0.6670 0.0000
Pa 0.5000 0.5000 0.5000
Pa 0.6670 0.3330 0.0000
Pa 0.8325 0.1675 0.5000
S 0.0803 0.4032 0.2411
S 0.2423 0.2423 0.7566
S 0.4032 0.0803 0.2411
S 0.5968 0.9197 0.7589
S 0.7577 0.7577 0.2434
S 0.9197 0.5968 0.7589
CELL_PARAMETERS angstrom
3.3371 -5.7965 0.0000
3.3371 5.7965 0.0000
-2.2245 0.0000 6.3625